DFT (PBE) results for crystalline PmIn3Pd at its relaxed geometry.

Geometry as extended XYZ:
```
20
Lattice="-3.034 6.131 3.293 -7.749 -1.250 -4.810 -1.096 -3.790 6.047" Properties=species:S:1:pos:R:3 pbc="T T T"
Pm -6.524 -1.845 -1.743
Pm -5.354 2.936 6.273
Pm -8.000 -0.172 2.534
Pm -3.878 1.263 1.996
In -8.121 1.354 5.471
In -3.757 -0.264 -0.940
In -8.445 0.755 -2.463
In -3.433 0.336 6.993
In -6.806 1.786 -0.025
In -5.072 -0.695 4.555
In -7.713 -3.812 0.811
In -4.165 4.903 3.719
In -6.561 2.748 3.108
In -5.317 -1.657 1.422
In -1.838 -0.233 4.257
In -10.040 1.323 0.274
Pd -5.085 3.880 1.011
Pd -6.793 -2.789 3.520
Pd -2.847 -2.311 5.846
Pd -9.031 3.401 -1.316
```

## Properties
- DFT formation energy: -0.425 eV/atom
- Offset from the most stable computed form: 104 meV per atom
- E: -4.0567 eV per atom
- D(E_F): 0.509 states/eV per atom
- ρ: 8.1 g/cm3

DFT (PBE) results for crystalline PmIn4Pd2 at its relaxed geometry.

Geometry as extended XYZ:
```
14
Lattice="-1.884 -1.620 -2.840 -2.447 -6.903 5.560 -7.583 4.617 2.395" Properties=species:S:1:pos:R:3 pbc="T T T"
Pm -0.942 -0.810 -1.420
Pm -5.015 -1.143 3.978
In -2.558 0.913 1.176
In -7.471 -3.199 6.780
In -5.774 0.560 1.003
In -6.139 -4.466 4.112
In -8.139 0.020 2.880
In -3.774 -3.927 2.236
In -1.347 -1.803 1.922
In -8.682 -0.482 6.034
Pd -6.575 2.357 3.016
Pd -3.455 -4.643 4.939
Pd -7.925 -2.402 4.119
Pd -3.989 -1.505 0.997
```

## Properties
- DFT formation energy: -0.468 eV/atom
- Offset from the most stable computed form: 99 meV per atom
- E: -4.1950 eV per atom
- D(E_F): 0.528 states/eV per atom
- ρ: 8.5 g/cm3

DFT (PBE) results for crystalline Pm7InPd4 at its relaxed geometry.

Geometry as extended XYZ:
```
12
Lattice="5.808 0.000 0.000 2.904 8.262 0.416 2.904 0.755 6.803" Properties=species:S:1:pos:R:3 pbc="T T T"
Pm 8.712 7.761 3.798
Pm 2.904 1.257 3.421
Pm 2.904 5.294 1.851
Pm 8.712 3.723 5.368
Pm 5.808 5.821 5.274
Pm 2.904 0.000 0.000
Pm 5.808 3.197 1.944
In 0.000 0.000 0.000
Pd 5.808 2.470 4.559
Pd 5.808 6.547 2.660
Pd 8.712 6.183 6.649
Pd 2.904 2.835 0.570
```

## Properties
- DFT formation energy: -0.402 eV/atom
- E: -5.1325 eV per atom
- D(E_F): 1.044 states/eV per atom
- ρ: 8.0 g/cm3

DFT (PBE) results for crystalline Pm8InPd2 at its relaxed geometry.

Geometry as extended XYZ:
```
11
Lattice="-0.402 -0.794 5.523 -4.890 -6.209 -2.489 8.130 -1.359 -0.844" Properties=species:S:1:pos:R:3 pbc="T T T"
Pm 0.622 -7.355 2.274
Pm 3.792 -6.174 2.675
Pm 1.839 -4.830 -0.313
Pm -1.926 -5.427 0.672
Pm 4.764 -2.934 1.517
Pm 0.999 -3.531 2.502
Pm -0.954 -2.187 -0.486
Pm 2.216 -1.007 -0.085
In -0.201 -0.397 2.761
Pd 4.189 -2.827 -1.342
Pd -0.949 -4.740 -1.991
```

## Properties
- DFT formation energy: -0.290 eV/atom
- Offset from the most stable computed form: 72 meV per atom
- E: -4.9380 eV per atom
- D(E_F): 1.380 states/eV per atom
- ρ: 7.4 g/cm3

DFT (PBE) results for crystalline Pm3In4Pd4 at its relaxed geometry.

Geometry as extended XYZ:
```
11
Lattice="4.192 0.000 0.000 0.000 7.923 0.000 -2.096 -3.962 7.586" Properties=species:S:1:pos:R:3 pbc="T T T"
Pm 0.000 0.000 1.798
Pm 2.096 3.962 5.788
Pm 0.000 3.962 0.000
In 0.000 -1.566 4.993
In 2.096 2.395 2.593
In 2.096 5.528 2.593
In 0.000 1.566 4.993
Pd 0.000 3.962 3.419
Pd 2.096 0.000 4.167
Pd 2.096 6.413 0.000
Pd 2.096 1.510 0.000
```

## Properties
- DFT formation energy: -0.703 eV/atom
- E: -4.8823 eV per atom
- D(E_F): 0.519 states/eV per atom
- ρ: 8.7 g/cm3

DFT (PBE) results for crystalline PmIn4Pd2 at its relaxed geometry.

Geometry as extended XYZ:
```
28
Lattice="4.608 0.000 0.000 0.000 7.205 0.000 0.000 0.000 18.652" Properties=species:S:1:pos:R:3 pbc="T T T"
Pm 3.456 7.066 11.961
Pm 1.152 0.139 6.691
Pm 1.152 3.464 16.017
Pm 3.456 3.741 2.635
In 1.152 1.931 12.901
In 3.456 5.274 5.750
In 3.456 5.533 15.076
In 1.152 1.671 3.575
In 1.152 4.914 12.788
In 3.456 2.291 5.864
In 3.456 1.311 15.190
In 1.152 5.893 3.462
In 1.152 1.079 9.966
In 3.456 6.125 8.686
In 3.456 4.682 18.012
In 1.152 2.523 0.640
In 1.152 3.572 8.015
In 3.456 3.633 10.637
In 3.456 7.174 1.311
In 1.152 0.031 17.341
Pd 1.152 5.439 10.066
Pd 3.456 1.766 8.586
Pd 3.456 1.837 17.911
Pd 1.152 5.368 0.740
Pd 1.152 6.996 14.607
Pd 3.456 0.209 4.044
Pd 3.456 3.394 13.370
Pd 1.152 3.811 5.282
```

## Properties
- DFT formation energy: -0.567 eV/atom
- Offset from the most stable computed form: 0 meV per atom
- E: -4.2944 eV per atom
- D(E_F): 0.477 states/eV per atom
- ρ: 8.8 g/cm3

- What is the ρ in the first record?
  8.1 g/cm3